Zn2SiHg | PBE | optimized geometry

Unit cell a=3.3168 b=3.3168 c=23.2958 alpha=90.00 beta=90.00 gamma=120.00
Space group R-3m (No. 166, hexagonal axes)
Asymmetric unit:
Zn (0.0000, 0.0000, 0.2411) x6
Si (0.0000, 0.0000, 0.5000) x3
Hg (0.0000, 0.0000, 0.0000) x3

Its energy above the most stable polymorph in this dataset is 20 meV per atom. The energy relative to the elements, uncorrected is 0.2452 eV/atom. As for the total energy: -1.823 eV per atom.